# K3PmU3Te8, optimized geometry, DFT PBE
# Theoretical density in g/cm³: 5.6
# Energy relative to the elements, uncorrected in meV/atom: -947
data_K3PmU3Te8
_chemical_formula_sum 'K3 Pm1 U3 Te8'
_cell_length_a 8.9915
_cell_length_b 9.0170
_cell_length_c 9.8417
_cell_angle_alpha 62.86
_cell_angle_beta 62.88
_cell_angle_gamma 60.17
_symmetry_space_group_name_H-M 'P -1'
_symmetry_Int_Tables_number 2
loop_
_symmetry_equiv_pos_as_xyz
'x,y,z'
'-x,-y,-z'
loop_
_atom_site_label
_atom_site_fract_x
_atom_site_fract_y
_atom_site_fract_z
_atom_site_occupancy
K1 0.0000 0.0000 0.0000 1
K2 0.0000 0.5000 0.0000 1
K3 0.5000 0.0000 0.0000 1
Pm1 0.0000 0.0000 0.5000 1
U1 0.0000 0.5000 0.5000 1
U2 0.5000 0.0000 0.5000 1
U3 0.5000 0.5000 0.5000 1
Te1 0.2397 0.2404 0.2892 1
Te2 0.2398 0.7302 0.2900 1
Te3 0.2622 0.2632 0.7117 1
Te4 0.2689 0.7599 0.7113 1

***

# LuZrHg2, optimized geometry, DFT PBE
# Offset from the most stable computed form in eV per atom: 0.027
# Theoretical density in g/cm³: 12.0
# DFT formation energy in meV/atom: -248
data_LuZrHg2
_chemical_formula_sum 'Lu4 Zr4 Hg8'
_cell_length_a 7.1670
_cell_length_b 7.1670
_cell_length_c 7.1670
_cell_angle_alpha 90.00
_cell_angle_beta 90.00
_cell_angle_gamma 90.00
_symmetry_space_group_name_H-M 'F m -3 m'
_symmetry_Int_Tables_number 225
_symmetry_space_group_name_Hall '-F 4 2 3'
loop_
_atom_site_label
_atom_site_fract_x
_atom_site_fract_y
_atom_site_fract_z
_atom_site_occupancy
Lu1 0.0000 0.0000 0.0000 1
Zr1 0.0000 0.0000 0.5000 1
Hg1 0.2500 0.2500 0.2500 1

***

# LiAlPb2, optimized geometry, DFT PBE
# Theoretical density in g/cm³: 7.6
# DFT formation energy in meV/atom: 3
data_LiAlPb2
_chemical_formula_sum 'Li2 Al2 Pb4'
_cell_length_a 4.8675
_cell_length_b 4.8782
_cell_length_c 8.2026
_cell_angle_alpha 90.00
_cell_angle_beta 90.00
_cell_angle_gamma 90.00
_symmetry_space_group_name_H-M 'I m m m'
_symmetry_Int_Tables_number 71
_symmetry_space_group_name_Hall '-I 2 2'
loop_
_atom_site_label
_atom_site_fract_x
_atom_site_fract_y
_atom_site_fract_z
_atom_site_occupancy
Li1 0.0000 0.0000 0.0000 1
Al1 0.0000 0.0000 0.5000 1
Pb1 0.0000 0.5000 0.2496 1

***

# CuRu2W, optimized geometry, DFT PBE
# Offset from the most stable computed form in eV per atom: 0.084
# Theoretical density in g/cm³: 13.0
# DFT formation energy in meV/atom: 158
data_CuRu2W
_chemical_formula_sum 'Cu3 Ru6 W3'
_cell_length_a 2.7435
_cell_length_b 2.7435
_cell_length_c 26.4014
_cell_angle_alpha 90.00
_cell_angle_beta 90.00
_cell_angle_gamma 120.00
_symmetry_space_group_name_H-M 'R -3 m'
_symmetry_Int_Tables_number 166
_symmetry_space_group_name_Hall '-R 3 2"'
loop_
_atom_site_label
_atom_site_fract_x
_atom_site_fract_y
_atom_site_fract_z
_atom_site_occupancy
Cu1 0.0000 0.0000 0.0000 1
Ru1 0.0000 0.0000 0.2505 1
W1 0.0000 0.0000 0.5000 1

***

# Sr2ErNpN4, optimized geometry, DFT PBE
# Theoretical density in g/cm³: 8.2
# Energy relative to the elements, uncorrected in meV/atom: -1175
data_Sr2ErNpN4
_chemical_formula_sum 'Sr2 Er1 Np1 N4'
_cell_length_a 6.0432
_cell_length_b 3.5705
_cell_length_c 6.2973
_cell_angle_alpha 90.00
_cell_angle_beta 108.24
_cell_angle_gamma 90.00
_symmetry_space_group_name_H-M 'P 1 2/m 1'
_symmetry_Int_Tables_number 10
loop_
_symmetry_equiv_pos_as_xyz
'x,y,z'
'-x,-y,-z'
'-x,y,-z'
'x,-y,z'
loop_
_atom_site_label
_atom_site_fract_x
_atom_site_fract_y
_atom_site_fract_z
_atom_site_occupancy
Sr1 0.0000 0.0000 0.0000 1
Sr2 0.5000 0.5000 0.0000 1
Er1 0.0000 0.5000 0.5000 1
Np1 0.5000 0.0000 0.5000 1
N1 0.2600 0.0000 0.6971 1
N2 0.2737 0.5000 0.2962 1

***

# Ba4Ac3S8, optimized geometry, DFT PBE
# Theoretical density in g/cm³: 5.0
# Energy relative to the elements, uncorrected in meV/atom: -1998
data_Ba4Ac3S8
_chemical_formula_sum 'Ba8 Ac6 S16'
_cell_length_a 12.4513
_cell_length_b 12.5273
_cell_length_c 8.8440
_cell_angle_alpha 90.00
_cell_angle_beta 134.47
_cell_angle_gamma 90.00
_symmetry_space_group_name_H-M 'C 1 2/m 1'
_symmetry_Int_Tables_number 12
loop_
_symmetry_equiv_pos_as_xyz
'x,y,z'
'-x,-y,-z'
'-x,y,-z'
'x,-y,z'
'x+1/2,y+1/2,z'
'-x+1/2,-y+1/2,-z'
'-x+1/2,y+1/2,-z'
'x+1/2,-y+1/2,z'
loop_
_atom_site_label
_atom_site_fract_x
_atom_site_fract_y
_atom_site_fract_z
_atom_site_occupancy
Ba1 0.0000 0.0000 0.0000 1
Ba2 0.0000 0.5000 0.5000 1
Ba3 0.2500 0.2500 0.0000 1
Ac1 0.0000 0.5000 0.0000 1
Ac2 0.2500 0.2500 0.5000 1
S1 0.0000 0.2519 0.5000 1
S2 0.0000 0.2556 0.0000 1
S3 0.2338 0.5000 0.9892 1
S4 0.2429 0.5000 0.4857 1

***

# ZnSbRh, optimized geometry, DFT PBE
# Theoretical density in g/cm³: 8.4
# Energy relative to the elements, uncorrected in meV/atom: -134
data_ZnSbRh
_chemical_formula_sum 'Zn1 Sb1 Rh1'
_cell_length_a 3.2738
_cell_length_b 3.2738
_cell_length_c 6.1615
_cell_angle_alpha 90.00
_cell_angle_beta 90.00
_cell_angle_gamma 120.00
_symmetry_space_group_name_H-M 'P 3 m 1'
_symmetry_Int_Tables_number 156
loop_
_symmetry_equiv_pos_as_xyz
'x,y,z'
'-y,x-y,z'
'-x+y,-x,z'
'-y,-x,z'
'-x+y,y,z'
'x,x-y,z'
loop_
_atom_site_label
_atom_site_fract_x
_atom_site_fract_y
_atom_site_fract_z
_atom_site_occupancy
Zn1 0.0000 0.0000 0.0000 1
Sb1 0.3333 0.6667 0.5944 1
Rh1 0.6667 0.3333 0.2955 1

***

# SrSc2RePt, optimized geometry, DFT PBE
# Theoretical density in g/cm³: 6.6
# DFT formation energy in meV/atom: 656
data_SrSc2RePt
_chemical_formula_sum 'Sr1 Sc2 Re1 Pt1'
_cell_length_a 5.0385
_cell_length_b 5.0385
_cell_length_c 5.5644
_cell_angle_alpha 90.00
_cell_angle_beta 90.00
_cell_angle_gamma 90.00
_symmetry_space_group_name_H-M 'P 4/m m m'
_symmetry_Int_Tables_number 123
_symmetry_space_group_name_Hall '-P 4 2'
loop_
_atom_site_label
_atom_site_fract_x
_atom_site_fract_y
_atom_site_fract_z
_atom_site_occupancy
Sr1 0.0000 0.0000 0.0000 1
Sc1 0.0000 0.5000 0.5000 1
Re1 0.5000 0.5000 0.0000 1
Pt1 0.0000 0.0000 0.5000 1